1.
Compound: Sc2GeCl
Source: Alexandria
Functional: PBE
Structure: relaxed

```
data_Sc2GeCl
_space_group_name_H-M_alt 'F m -3 m'
_space_group_IT_number 225
_space_group_name_Hall '-F 4 2 3'
_cell_length_a 6.787
_cell_length_b 6.787
_cell_length_c 6.787
_cell_angle_alpha 90.00
_cell_angle_beta 90.00
_cell_angle_gamma 90.00
loop_
_atom_site_label
_atom_site_type_symbol
_atom_site_fract_x
_atom_site_fract_y
_atom_site_fract_z
_atom_site_occupancy
Sc1 Sc 0.250 0.250 0.250 1
Ge1 Ge 0.000 0.000 0.000 1
Cl1 Cl 0.000 0.000 0.500 1
```

## Properties
As for the relative energy among the computed polymorphs: 0.2023 eV/atom.



2.
Compound: Li2AcDySe4
Source: Alexandria
Functional: PBE
Structure: relaxed

```
data_Li2AcDySe4
_space_group_name_H-M_alt 'P 1 2/m 1'
_space_group_IT_number 10
_cell_length_a 6.995
_cell_length_b 4.251
_cell_length_c 7.400
_cell_angle_alpha 90.00
_cell_angle_beta 110.69
_cell_angle_gamma 90.00
loop_
_space_group_symop_operation_xyz
'x,y,z'
'-x,-y,-z'
'-x,y,-z'
'x,-y,z'
loop_
_atom_site_label
_atom_site_type_symbol
_atom_site_fract_x
_atom_site_fract_y
_atom_site_fract_z
_atom_site_occupancy
Li1 Li 0.000 0.000 0.000 1
Li2 Li 0.000 0.500 0.500 1
Ac1 Ac 0.500 0.000 0.500 1
Dy1 Dy 0.500 0.500 0.000 1
Se1 Se 0.237 0.500 0.226 1
Se2 Se 0.245 0.000 0.764 1
```

## Properties
The value obtained for the total DFT energy (no corrections) is -4.979 eV per atom.



3.
Compound: NaPbSCl2
Source: Alexandria
Functional: PBE
Structure: relaxed

```
data_NaPbSCl2
_space_group_name_H-M_alt 'P 4/m m m'
_space_group_IT_number 123
_space_group_name_Hall '-P 4 2'
_cell_length_a 5.596
_cell_length_b 5.596
_cell_length_c 5.093
_cell_angle_alpha 90.00
_cell_angle_beta 90.00
_cell_angle_gamma 90.00
loop_
_atom_site_label
_atom_site_type_symbol
_atom_site_fract_x
_atom_site_fract_y
_atom_site_fract_z
_atom_site_occupancy
Na1 Na 0.000 0.000 0.000 1
Pb1 Pb 0.500 0.500 0.500 1
S1 S 0.500 0.500 0.000 1
Cl1 Cl 0.000 0.500 0.500 1
```

## Properties
As for the relative energy among the computed polymorphs: 0.0000 eV/atom.



4.
Compound: In2ReRh
Source: Alexandria
Functional: PBE
Structure: relaxed

```
data_In2ReRh
_space_group_name_H-M_alt 'C m m m'
_space_group_IT_number 65
_space_group_name_Hall '-C 2 2'
_cell_length_a 3.188
_cell_length_b 4.943
_cell_length_c 8.997
_cell_angle_alpha 90.00
_cell_angle_beta 90.00
_cell_angle_gamma 90.00
loop_
_atom_site_label
_atom_site_type_symbol
_atom_site_fract_x
_atom_site_fract_y
_atom_site_fract_z
_atom_site_occupancy
In1 In 0.000 0.000 0.241 1
Re1 Re 0.000 0.500 0.500 1
Rh1 Rh 0.000 0.500 0.000 1
```

## Properties
Its energy of formation from the pure elements is 351.5 meV per atom. As for the relative energy among the computed polymorphs: 0.2033 eV/atom.



5.
Compound: EuCd4In
Source: Alexandria
Functional: PBE
Structure: relaxed

```
data_EuCd4In
_space_group_name_H-M_alt 'F -4 3 m'
_space_group_IT_number 216
_space_group_name_Hall 'F -4 2 3'
_cell_length_a 8.557
_cell_length_b 8.557
_cell_length_c 8.557
_cell_angle_alpha 90.00
_cell_angle_beta 90.00
_cell_angle_gamma 90.00
loop_
_atom_site_label
_atom_site_type_symbol
_atom_site_fract_x
_atom_site_fract_y
_atom_site_fract_z
_atom_site_occupancy
Eu1 Eu 0.000 0.000 0.000 1
Cd1 Cd 0.125 0.125 0.375 1
In1 In 0.250 0.250 0.750 1
```

## Properties
Its energy of formation from the pure elements is -161.7 meV per atom.



6.
Compound: KRbPt3
Source: Alexandria
Functional: PBE
Structure: relaxed

```
data_KRbPt3
_space_group_name_H-M_alt 'P m -3 m'
_space_group_IT_number 221
_space_group_name_Hall '-P 4 2 3'
_cell_length_a 5.303
_cell_length_b 5.303
_cell_length_c 5.303
_cell_angle_alpha 90.00
_cell_angle_beta 90.00
_cell_angle_gamma 90.00
loop_
_atom_site_label
_atom_site_type_symbol
_atom_site_fract_x
_atom_site_fract_y
_atom_site_fract_z
_atom_site_occupancy
K1 K 0.000 0.000 0.000 1
Rb1 Rb 0.500 0.500 0.500 1
Pt1 Pt 0.000 0.000 0.500 1
```

## Properties
Its energy of formation from the pure elements is 1509.2 meV per atom. As for the relative energy among the computed polymorphs: 1.3567 eV/atom.



7.
Compound: TbInSnCl6
Source: Alexandria
Functional: PBE
Structure: relaxed

```
data_TbInSnCl6
_space_group_name_H-M_alt 'P 3 1 2'
_space_group_IT_number 149
_cell_length_a 7.2664
_cell_length_b 7.2664
_cell_length_c 6.7877
_cell_angle_alpha 90.00
_cell_angle_beta 90.00
_cell_angle_gamma 120.00
loop_
_space_group_symop_operation_xyz
'x,y,z'
'-y,x-y,z'
'-x+y,-x,z'
'-y,-x,-z'
'-x+y,y,-z'
'x,x-y,-z'
loop_
_atom_site_label
_atom_site_type_symbol
_atom_site_fract_x
_atom_site_fract_y
_atom_site_fract_z
_atom_site_occupancy
Tb1 Tb 0.0000 0.0000 0.0000 1
In1 In 0.3333 0.6667 0.5000 1
Sn1 Sn 0.6667 0.3333 0.0000 1
Cl1 Cl 0.3135 0.0220 0.2236 1
```

## Properties
The value obtained for the total DFT energy (no corrections) is -4.044 eV per atom.



8.
Compound: HoGe2Te4
Source: Alexandria
Functional: PBE
Structure: relaxed

```
data_HoGe2Te4
_space_group_name_H-M_alt 'C m c m'
_space_group_IT_number 63
_space_group_name_Hall '-C 2c 2'
_cell_length_a 4.214
_cell_length_b 13.995
_cell_length_c 13.834
_cell_angle_alpha 90.00
_cell_angle_beta 90.00
_cell_angle_gamma 90.00
loop_
_atom_site_label
_atom_site_type_symbol
_atom_site_fract_x
_atom_site_fract_y
_atom_site_fract_z
_atom_site_occupancy
Ho1 Ho 0.000 0.103 0.250 1
Ge1 Ge 0.000 0.367 0.060 1
Te1 Te 0.000 0.000 0.000 1
Te2 Te 0.000 0.277 0.627 1
Te3 Te 0.000 0.447 0.250 1
```

## Properties
The value obtained for the total DFT energy (no corrections) is -4.233 eV per atom.



9.
Compound: TlSiTcO6
Source: Alexandria
Functional: PBE
Structure: relaxed

```
data_TlSiTcO6
_space_group_name_H-M_alt 'P 3 1 2'
_space_group_IT_number 149
_cell_length_a 5.0318
_cell_length_b 5.0318
_cell_length_c 5.0737
_cell_angle_alpha 90.00
_cell_angle_beta 90.00
_cell_angle_gamma 120.00
loop_
_space_group_symop_operation_xyz
'x,y,z'
'-y,x-y,z'
'-x+y,-x,z'
'-y,-x,-z'
'-x+y,y,-z'
'x,x-y,-z'
loop_
_atom_site_label
_atom_site_type_symbol
_atom_site_fract_x
_atom_site_fract_y
_atom_site_fract_z
_atom_site_occupancy
Tl1 Tl 0.0000 0.0000 0.0000 1
Si1 Si 0.6667 0.3333 0.5000 1
Tc1 Tc 0.3333 0.6667 0.5000 1
O1 O 0.3952 0.0195 0.2972 1
```

## Properties
The value obtained for the total DFT energy (no corrections) is -6.860 eV per atom.



10.
Compound: CeDyTh2S4
Source: Alexandria
Functional: PBE
Structure: relaxed

```
data_CeDyTh2S4
_space_group_name_H-M_alt 'P 1 2/m 1'
_space_group_IT_number 10
_cell_length_a 6.874
_cell_length_b 3.992
_cell_length_c 6.989
_cell_angle_alpha 90.00
_cell_angle_beta 109.19
_cell_angle_gamma 90.00
loop_
_space_group_symop_operation_xyz
'x,y,z'
'-x,-y,-z'
'-x,y,-z'
'x,-y,z'
loop_
_atom_site_label
_atom_site_type_symbol
_atom_site_fract_x
_atom_site_fract_y
_atom_site_fract_z
_atom_site_occupancy
Ce1 Ce 0.000 0.000 0.000 1
Dy1 Dy 0.500 0.500 0.000 1
Th1 Th 0.000 0.500 0.500 1
Th2 Th 0.500 0.000 0.500 1
S1 S 0.252 0.500 0.242 1
S2 S 0.259 0.000 0.761 1
```

## Properties
The value obtained for the total DFT energy (no corrections) is -7.167 eV per atom.



11.
Compound: TbPmCoNi
Source: Alexandria
Functional: PBE
Structure: relaxed

```
data_TbPmCoNi
_space_group_name_H-M_alt 'A m m 2'
_space_group_IT_number 38
_cell_length_a 3.963
_cell_length_b 3.886
_cell_length_c 10.761
_cell_angle_alpha 90.00
_cell_angle_beta 90.00
_cell_angle_gamma 90.00
loop_
_space_group_symop_operation_xyz
'x,y,z'
'-x,-y,z'
'-x,y,z'
'x,-y,z'
'x,y+1/2,z+1/2'
'-x,-y+1/2,z+1/2'
'-x,y+1/2,z+1/2'
'x,-y+1/2,z+1/2'
loop_
_atom_site_label
_atom_site_type_symbol
_atom_site_fract_x
_atom_site_fract_y
_atom_site_fract_z
_atom_site_occupancy
Tb1 Tb 0.000 0.000 0.000 1
Pm1 Pm 0.500 0.000 0.719 1
Co1 Co 0.000 0.000 0.296 1
Ni1 Ni 0.500 0.000 0.430 1
```

## Properties
Its energy of formation from the pure elements is -251.8 meV per atom. As for the relative energy among the computed polymorphs: 0.0000 eV/atom.



12.
Compound: Ac2ScRuO6
Source: Alexandria
Functional: PBE
Structure: relaxed

```
data_Ac2ScRuO6
_space_group_name_H-M_alt 'F m -3 m'
_space_group_IT_number 225
_space_group_name_Hall '-F 4 2 3'
_cell_length_a 8.148
_cell_length_b 8.148
_cell_length_c 8.148
_cell_angle_alpha 90.00
_cell_angle_beta 90.00
_cell_angle_gamma 90.00
loop_
_atom_site_label
_atom_site_type_symbol
_atom_site_fract_x
_atom_site_fract_y
_atom_site_fract_z
_atom_site_occupancy
Ac1 Ac 0.250 0.250 0.250 1
Sc1 Sc 0.000 0.000 0.000 1
Ru1 Ru 0.000 0.000 0.500 1
O1 O 0.000 0.000 0.252 1
```

## Properties
The value obtained for the total DFT energy (no corrections) is -8.100 eV per atom.



13.
Compound: BaPrDy4S8
Source: Alexandria
Functional: PBE
Structure: relaxed

```
data_BaPrDy4S8
_space_group_name_H-M_alt 'R 3 m'
_space_group_IT_number 160
_space_group_name_Hall 'R 3 -2"'
_cell_length_a 8.2477
_cell_length_b 8.2477
_cell_length_c 20.5916
_cell_angle_alpha 90.00
_cell_angle_beta 90.00
_cell_angle_gamma 120.00
loop_
_atom_site_label
_atom_site_type_symbol
_atom_site_fract_x
_atom_site_fract_y
_atom_site_fract_z
_atom_site_occupancy
Ba1 Ba 0.0000 0.0000 0.0000 1
Pr1 Pr 0.0000 0.0000 0.6288 1
Dy1 Dy 0.0000 0.0000 0.2524 1
Dy2 Dy 0.1689 0.3378 0.4599 1
S1 S 0.0000 0.0000 0.3844 1
S2 S 0.0000 0.0000 0.8585 1
S3 S 0.0415 0.5207 0.3870 1
S4 S 0.1728 0.3456 0.2052 1
```

## Properties
The value obtained for the total DFT energy (no corrections) is -6.112 eV per atom.



14.
Compound: Pa4Si6Au5
Source: Alexandria
Functional: PBE
Structure: relaxed

```
data_Pa4Si6Au5
_space_group_name_H-M_alt 'C m c 21'
_space_group_IT_number 36
_cell_length_a 4.197
_cell_length_b 18.997
_cell_length_c 15.147
_cell_angle_alpha 90.00
_cell_angle_beta 90.00
_cell_angle_gamma 90.00
loop_
_space_group_symop_operation_xyz
'x,y,z'
'-x,-y,z+1/2'
'-x,y,z'
'x,-y,z+1/2'
'x+1/2,y+1/2,z'
'-x+1/2,-y+1/2,z+1/2'
'-x+1/2,y+1/2,z'
'x+1/2,-y+1/2,z+1/2'
loop_
_atom_site_label
_atom_site_type_symbol
_atom_site_fract_x
_atom_site_fract_y
_atom_site_fract_z
_atom_site_occupancy
Pa1 Pa 0.000 0.017 0.000 1
Pa2 Pa 0.000 0.037 0.270 1
Pa3 Pa 0.000 0.161 0.800 1
Pa4 Pa 0.000 0.177 0.442 1
Si1 Si 0.000 0.112 0.613 1
Si2 Si 0.000 0.222 0.982 1
Si3 Si 0.000 0.235 0.262 1
Si4 Si 0.000 0.427 0.625 1
Si5 Si 0.000 0.432 0.912 1
Si6 Si 0.000 0.450 0.355 1
Au1 Au 0.000 0.152 0.125 1
Au2 Au 0.000 0.303 0.116 1
Au3 Au 0.000 0.339 0.783 1
Au4 Au 0.000 0.351 0.464 1
Au5 Au 0.000 0.445 0.179 1
```

## Properties
The value obtained for the total DFT energy (no corrections) is -6.178 eV per atom.



15.
Compound: Ba2MgAgPt
Source: Alexandria
Functional: PBE
Structure: relaxed

```
data_Ba2MgAgPt
_space_group_name_H-M_alt 'P 4/m m m'
_space_group_IT_number 123
_space_group_name_Hall '-P 4 2'
_cell_length_a 6.116
_cell_length_b 6.116
_cell_length_c 5.090
_cell_angle_alpha 90.00
_cell_angle_beta 90.00
_cell_angle_gamma 90.00
loop_
_atom_site_label
_atom_site_type_symbol
_atom_site_fract_x
_atom_site_fract_y
_atom_site_fract_z
_atom_site_occupancy
Ba1 Ba 0.000 0.500 0.000 1
Mg1 Mg 0.000 0.000 0.500 1
Ag1 Ag 0.500 0.500 0.500 1
Pt1 Pt 0.000 0.000 0.000 1
```

## Properties
Its energy of formation from the pure elements is -364.1 meV per atom.



16.
Compound: Tb3Nd7Dy
Source: Alexandria
Functional: PBE
Structure: relaxed

```
data_Tb3Nd7Dy
_space_group_name_H-M_alt 'C 1 2/c 1'
_space_group_IT_number 15
_cell_length_a 19.329
_cell_length_b 7.225
_cell_length_c 12.625
_cell_angle_alpha 90.00
_cell_angle_beta 116.18
_cell_angle_gamma 90.00
loop_
_space_group_symop_operation_xyz
'x,y,z'
'-x,-y,-z'
'-x,y,-z+1/2'
'x,-y,z+1/2'
'x+1/2,y+1/2,z'
'-x+1/2,-y+1/2,-z'
'-x+1/2,y+1/2,-z+1/2'
'x+1/2,-y+1/2,z+1/2'
loop_
_atom_site_label
_atom_site_type_symbol
_atom_site_fract_x
_atom_site_fract_y
_atom_site_fract_z
_atom_site_occupancy
Tb1 Tb 0.000 0.000 0.000 1
Tb2 Tb 0.169 0.499 0.274 1
Nd1 Nd 0.000 0.281 0.250 1
Nd2 Nd 0.159 0.004 0.774 1
Nd3 Nd 0.167 0.253 0.027 1
Nd4 Nd 0.168 0.251 0.529 1
Dy1 Dy 0.000 0.500 0.000 1
```

## Properties
Its energy of formation from the pure elements is 181.8 meV per atom. As for the relative energy among the computed polymorphs: 0.0000 eV/atom.